CsK2TlAs2: relaxed, PBE-GGA.

The structure in CIF format:
```
data_CsK2TlAs2
_chemical_formula_sum 'Cs1 K2 Tl1 As2'
_cell_length_a 5.9469
_cell_length_b 5.9469
_cell_length_c 9.0753
_cell_angle_alpha 109.13
_cell_angle_beta 109.13
_cell_angle_gamma 90.00
_symmetry_space_group_name_H-M 'P 1'
_symmetry_Int_Tables_number 1
loop_
_symmetry_equiv_pos_as_xyz
'x,y,z'
loop_
_atom_site_label
_atom_site_fract_x
_atom_site_fract_y
_atom_site_fract_z
Cs1 0.5000 0.5000 0.0000
K1 0.2500 0.7500 0.5000
K2 0.7500 0.2500 0.5000
Tl1 0.0000 0.0000 0.0000
As1 0.8455 0.8455 0.6911
As2 0.1545 0.1545 0.3089
```

Energy of formation   -0.297 eV per atom
SG   I4/mmm (139)
Spin magnetization   0.0000 μB per atom
Calculated volume   284 Å³/cell


Cs4K2TlAs2: relaxed, PBE-GGA.

The structure in CIF format:
```
data_Cs4K2TlAs2
_chemical_formula_sum 'Cs4 K2 Tl1 As2'
_cell_length_a 5.4009
_cell_length_b 9.8684
_cell_length_c 9.8684
_cell_angle_alpha 69.48
_cell_angle_beta 74.15
_cell_angle_gamma 74.15
_symmetry_space_group_name_H-M 'P 1'
_symmetry_Int_Tables_number 1
loop_
_symmetry_equiv_pos_as_xyz
'x,y,z'
loop_
_atom_site_label
_atom_site_fract_x
_atom_site_fract_y
_atom_site_fract_z
Cs1 0.1411 0.6579 0.0599
Cs2 0.8589 0.9401 0.3421
Cs3 0.8589 0.3421 0.9401
Cs4 0.1411 0.0599 0.6579
K1 0.3511 0.6486 0.6486
K2 0.6489 0.3514 0.3514
Tl1 0.5000 0.0000 0.0000
As1 0.2839 0.2162 0.2162
As2 0.7161 0.7838 0.7838
```

Energy of formation   -0.166 eV per atom
SG   Immm (71)
Spin magnetization   0.1143 μB per atom
Calculated volume   465 Å³/cell


CsKTlAs: relaxed, PBE-GGA.

The structure in CIF format:
```
data_CsKTlAs
_chemical_formula_sum 'Cs1 K1 Tl1 As1'
_cell_length_a 5.8451
_cell_length_b 5.8451
_cell_length_c 5.8451
_cell_angle_alpha 60.00
_cell_angle_beta 60.00
_cell_angle_gamma 60.00
_symmetry_space_group_name_H-M 'P 1'
_symmetry_Int_Tables_number 1
loop_
_symmetry_equiv_pos_as_xyz
'x,y,z'
loop_
_atom_site_label
_atom_site_fract_x
_atom_site_fract_y
_atom_site_fract_z
Cs1 0.7500 0.7500 0.7500
Tl1 0.0000 0.0000 0.0000
K1 0.5000 0.5000 0.5000
As1 0.2500 0.2500 0.2500
```

Energy of formation   -0.159 eV per atom
SG   F-43m (216)
Spin magnetization   0.0000 μB per atom
Calculated volume   141 Å³/cell


Which formula does entry 1 have? CsK2TlAs2